3
Lattice="0.0000 3.3657 3.3657 3.3657 0.0000 3.3657 3.3657 3.3657 0.0000" Properties=species:S:1:pos:R:3 comment="GdHgOs (PBE, optimized geometry)" delta_e_f_ev_per_atom=0.84 total_energy_ev_per_atom=-4.556 crystal_system=cubic sg="F-43m, No. 216" m_tot_mub_per_fu=0.03 polymorph_energy_mev_per_atom=452 pbc="T T T"
Gd 0.0000 0.0000 0.0000
Hg 5.0486 5.0486 5.0486
Os 1.6829 1.6829 1.6829

=====

3
Lattice="0.0000 3.3153 3.3153 3.3153 0.0000 3.3153 3.3153 3.3153 0.0000" Properties=species:S:1:pos:R:3 comment="GdHgOs (PBE, optimized geometry)" delta_e_f_ev_per_atom=0.38 total_energy_ev_per_atom=-5.008 crystal_system=cubic sg="F-43m, No. 216" m_tot_mub_per_fu=0.48 polymorph_energy_mev_per_atom=0 pbc="T T T"
Gd 0.0000 0.0000 0.0000
Hg 3.3153 3.3153 3.3153
Os 1.6577 1.6577 1.6577

=====

3
Lattice="0.0000 3.6020 3.6020 3.6020 0.0000 3.6020 3.6020 3.6020 0.0000" Properties=species:S:1:pos:R:3 comment="GdPaHg (PBE, optimized geometry)" delta_e_f_ev_per_atom=0.44 total_energy_ev_per_atom=-4.376 crystal_system=cubic sg="F-43m, No. 216" m_tot_mub_per_fu=2.13 polymorph_energy_mev_per_atom=0 pbc="T T T"
Gd 0.0000 0.0000 0.0000
Pa 3.6020 3.6020 3.6020
Hg 1.8010 1.8010 1.8010

=====

4
Lattice="4.8493 0.0000 0.0000 0.0000 4.8493 0.0000 0.0000 0.0000 4.6028" Properties=species:S:1:pos:R:3 comment="GdHgPb2 (PBE, optimized geometry)" total_energy_ev_per_atom=-3.434 crystal_system=tetragonal sg="P4/mmm, No. 123" m_tot_mub_per_fu=0.00 pbc="T T T"
Gd 0.0000 0.0000 0.0000
Hg 2.4246 2.4246 0.0000
Pb 0.0000 2.4246 2.3014
Pb 2.4246 0.0000 2.3014